# 1
Entry from Alexandria: an optimized crystal structure of SrThS2 (PBE).

```
SrThS2
1.0
-1.346 -1.361 3.483
2.255 -2.434 2.188
3.280 4.581 5.325
Sr Th S
1 1 2
Cartesian
2.139 0.481 5.550
3.854 1.989 9.070
2.560 3.167 4.495
1.009 0.122 2.706
```

## Properties
- E_form (uncorrected) (kcal/mol of atoms) = -41.82
- calculated volume (Å³ per atom) = 25.3

# 2
Entry from Alexandria: an optimized crystal structure of SrTh2S4 (PBE).

```
SrTh2S4
1.0
-0.934 2.968 2.573
4.251 -4.381 3.427
10.883 7.175 -4.325
Sr Th S
2 4 8
Cartesian
8.572 6.193 -0.864
5.627 -0.432 2.540
5.725 2.369 -0.655
12.511 6.053 0.727
1.689 -0.292 0.949
8.475 3.392 2.331
2.893 0.782 3.315
5.708 2.639 2.196
11.307 4.979 -1.639
8.492 3.123 -0.520
11.140 4.227 2.335
3.059 1.534 -0.659
-0.467 1.484 1.287
4.974 5.071 -0.876
```

## Properties
- E_form (uncorrected) (kcal/mol of atoms) = -44.35
- calculated volume (Å³ per atom) = 26.6

# 3
Entry from Alexandria: an optimized crystal structure of SrThS2 (PBE).

```
SrThS2
1.0
-3.986 -0.826 0.026
-1.801 -1.444 -3.353
-0.565 -7.279 0.966
Sr S Th
1 2 1
Cartesian
-3.176 -4.774 -1.180
-4.752 -7.216 -1.753
-1.599 -2.332 -0.608
0.000 0.000 0.000
```

## Properties
- E_form (uncorrected) (kcal/mol of atoms) = -43.56
- calculated volume (Å³ per atom) = 25.0

# 4
Entry from Alexandria: an optimized crystal structure of Sr2ThS4 (PBE).

```
Sr2ThS4
1.0
-1.398 0.917 3.953
-3.893 -6.301 0.085
9.731 -5.947 4.820
Sr Th S
4 2 8
Cartesian
3.671 -10.185 5.990
0.770 -1.147 2.868
4.324 -6.243 5.307
0.117 -5.088 3.551
4.866 -2.974 2.410
-1.946 -3.150 0.042
5.241 -8.733 3.878
0.598 -3.515 1.026
6.342 -5.067 3.417
-0.503 -7.182 1.487
1.631 -7.592 4.667
2.810 -3.740 4.191
-3.130 -4.449 2.255
7.571 -6.882 6.603
```

## Properties
- E_form (uncorrected) (kcal/mol of atoms) = -48.06
- calculated volume (Å³ per atom) = 28.1

# 5
Entry from Alexandria: an optimized crystal structure of SrThTl2S4 (PBE).

```
SrThTl2S4
1.0
4.271 0.000 0.000
0.000 7.855 -0.325
0.000 2.597 6.920
Sr Th Tl S
1 1 2 4
Cartesian
2.135 3.927 -0.162
0.000 5.226 3.298
0.000 2.597 6.920
2.135 1.298 3.460
0.000 7.467 4.902
4.271 2.985 1.693
2.136 6.262 1.732
2.135 4.190 4.863
```

## Properties
- E_form (uncorrected) (kcal/mol of atoms) = -32.90
- calculated volume (Å³ per atom) = 29.5

# 6
Entry from Alexandria: an optimized crystal structure of Sr2ThZnS5 (PBE).

```
Sr2ThZnS5
1.0
4.099 0.000 0.000
-2.049 8.906 0.000
0.000 0.000 12.419
Sr Th Zn S
4 2 2 10
Cartesian
2.049 6.827 10.233
0.000 1.862 8.460
0.000 2.080 4.023
2.049 7.044 2.251
2.049 5.250 6.460
0.000 3.657 0.250
2.049 0.932 11.669
0.000 7.974 5.459
0.000 6.377 0.081
2.049 3.346 10.786
0.000 8.883 9.604
0.000 5.198 8.343
2.049 8.052 6.695
2.049 2.529 6.291
0.000 5.560 4.576
2.049 0.023 3.394
2.049 3.708 2.133
0.000 0.854 0.485
```

## Properties
- E_form (uncorrected) (kcal/mol of atoms) = -40.56
- calculated volume (Å³ per atom) = 25.2

# 7
Entry from Alexandria: an optimized crystal structure of SrTi4S8 (PBE).

```
SrTi4S8
1.0
7.448 0.000 0.000
3.724 6.450 0.000
3.724 2.150 6.081
Sr Ti S
1 4 8
Cartesian
11.172 6.450 4.561
9.439 3.151 2.228
7.448 6.599 2.228
7.448 4.300 5.479
5.457 3.151 2.228
5.445 1.156 0.818
3.724 4.138 0.818
3.724 2.150 3.628
2.003 1.156 0.818
5.914 5.186 3.667
7.448 2.529 3.667
7.448 4.300 1.162
8.982 5.186 3.667
```

## Properties
- E_form (uncorrected) (kcal/mol of atoms) = -30.48
- calculated volume (Å³ per atom) = 22.5

# 8
Entry from Alexandria: an optimized crystal structure of SrTi4S8 (PBE).

```
SrTi4S8
1.0
-6.294 -2.257 1.558
-2.625 -5.410 -3.315
-0.152 -6.980 4.401
Sr Ti S
1 4 8
Cartesian
-4.536 -7.324 1.322
-1.313 -2.705 -1.657
-4.460 -3.834 -0.878
-3.147 -1.129 0.779
0.000 0.000 0.000
-5.368 -8.501 3.903
-5.559 -4.552 1.205
-3.703 -6.146 -1.259
-6.886 -7.288 -0.471
-6.651 -11.224 2.253
-2.420 -3.423 0.392
-2.185 -7.360 3.115
-3.513 -10.095 1.439
```

## Properties
- E_form (uncorrected) (kcal/mol of atoms) = -34.59
- calculated volume (Å³ per atom) = 22.7